VASP calculation (GGA-PBE) on an optimized crystal structure of LiCe4Pu3Se8.

POSCAR file:
```
LiCe4Pu3Se8
1.0
8.3447 0.0000 0.0000
0.0000 8.3292 -0.0078
-4.1724 -4.1746 5.8990
Pu Se Ce Li
3 8 4 1
Direct
0.5000 0.5000 0.0000 Pu
0.5000 0.5000 0.5000 Pu
0.0000 0.5000 0.5000 Pu
0.2444 0.7409 0.9965 Se
0.2444 0.7409 0.4887 Se
0.2524 0.2573 0.5049 Se
0.7476 0.7427 0.4951 Se
0.7556 0.2591 0.5113 Se
0.7556 0.2591 0.0035 Se
0.2479 0.2591 0.0035 Se
0.7521 0.7409 0.9965 Se
0.5000 0.0000 0.0000 Ce
0.0000 0.0000 0.5000 Ce
0.0000 0.0000 0.0000 Ce
0.5000 0.0000 0.5000 Ce
0.0000 0.5000 0.0000 Li
```

Formation energy from raw total energies in eV/atom: -1.66
Crystal system: trigonal
VASP energy in eV/atom: -7.688
DOS at the Fermi energy in states/eV per atom: 2.81


VASP calculation (GGA-PBE) on an optimized crystal structure of NaCdCl3.

POSCAR file:
```
NaCdCl3
1.0
5.0373 0.0000 0.0000
0.0000 5.0373 0.0000
0.0000 0.0000 5.0373
Cl Na Cd
3 1 1
Direct
0.5000 0.0000 0.0000 Cl
0.0000 0.5000 0.0000 Cl
0.0000 0.0000 0.5000 Cl
0.0000 0.0000 0.0000 Na
0.5000 0.5000 0.5000 Cd
```

Formation energy from raw total energies in eV/atom: -0.64
Crystal system: cubic
VASP energy in eV/atom: -2.196
DOS at the Fermi energy in states/eV per atom: 0.12


VASP calculation (GGA-PBE) on an optimized crystal structure of UP2Os2Rh.

POSCAR file:
```
UP2Os2Rh
1.0
-3.4248 -1.7425 -0.1547
3.3869 -6.6830 0.2919
-0.3554 0.1097 6.6349
U Os Rh P
2 4 2 4
Direct
0.0000 0.4793 0.6539 U
0.0000 0.9793 0.3461 U
0.0000 0.8750 0.8448 Os
0.0000 0.3750 0.1552 Os
0.5000 0.6073 0.9320 Os
0.5000 0.1073 0.0680 Os
0.5000 0.6123 0.3526 Rh
0.5000 0.1123 0.6474 Rh
0.5000 0.2877 0.3565 P
0.5000 0.7877 0.6435 P
0.0000 0.6840 0.1282 P
0.0000 0.1840 0.8718 P
```

Crystal system: orthorhombic
VASP energy in eV/atom: -9.128
DOS at the Fermi energy in states/eV per atom: 0.64
Formation energy from the elements in eV per atom: -0.474


VASP calculation (GGA-PBE) on an optimized crystal structure of Ac3Rh4Pb.

POSCAR file:
```
Ac3Rh4Pb
1.0
-0.9489 -1.1338 4.0363
-0.2880 -5.8956 -1.7238
8.5172 2.6565 0.4596
Ac Rh Pb
3 4 1
Direct
0.1942 0.1942 0.3884 Ac
0.8058 0.8058 0.6116 Ac
0.0000 0.5000 0.0000 Ac
0.6244 0.4113 0.2488 Rh
0.3756 0.5887 0.7512 Rh
0.6244 0.8374 0.2488 Rh
0.3756 0.1626 0.7512 Rh
0.5000 0.0000 0.0000 Pb
```

Crystal system: orthorhombic
VASP energy in eV/atom: -6.195
DOS at the Fermi energy in states/eV per atom: 0.55
Formation energy from the elements in eV per atom: -0.515